(1)
GGA-PBE SiMoOs2, relaxed; calculated volume = 57.32 Å³/f.u.; E_tot = -9.7323 eV/atom; mass density = 14.614 Mg/m³
1.0
2.795 0.000 0.000
0.000 4.034 0.000
-1.328 0.000 5.084
Si Mo Os
1 1 2
direct
0.000 0.000 0.000
0.000 0.000 0.500
0.373 0.500 0.234
0.627 0.500 0.766

---

(2)
GGA-PBE Si2MoOs, relaxed; calculated volume = 56.48 Å³/f.u.; E_tot = -8.3518 eV/atom; mass density = 10.065 Mg/m³
1.0
3.982 -1.418 0.000
3.982 1.418 0.000
-1.009 0.000 5.002
Si Mo Os
2 1 1
direct
0.246 0.246 0.222
0.754 0.754 0.778
0.000 0.000 0.500
0.500 0.500 0.000

---

(3)
GGA-PBE SiMo2Os, relaxed; calculated volume = 59.32 Å³/f.u.; E_tot = -9.4565 eV/atom; mass density = 11.482 Mg/m³
1.0
1.569 -2.285 0.000
1.569 2.285 0.000
0.000 0.000 8.272
Si Mo Os
1 2 1
direct
0.000 0.000 0.000
0.000 0.000 0.508
0.500 0.500 0.242
0.500 0.500 0.776

---

(4)
GGA-PBE SiMoOs, relaxed; calculated volume = 42.86 Å³/f.u.; E_tot = -9.2194 eV/atom; mass density = 12.175 Mg/m³
1.0
-1.423 1.920 3.924
1.423 -1.920 3.924
1.423 1.920 -3.924
Si Mo Os
1 1 1
direct
0.000 0.000 0.000
0.666 0.666 0.000
0.338 0.338 0.000

---

(5)
GGA-PBE Si2MoOs, relaxed; calculated volume = 55.75 Å³/f.u.; E_tot = -8.4445 eV/atom; mass density = 10.197 Mg/m³
1.0
2.885 0.000 0.000
0.000 4.420 0.000
0.000 0.000 4.372
Si Mo Os
2 1 1
direct
0.000 0.000 0.000
0.500 0.500 0.170
0.000 0.500 0.683
0.500 0.000 0.466

---

(6)
GGA-PBE SiMo2Os, relaxed; calculated volume = 59.45 Å³/f.u.; E_tot = -9.4711 eV/atom; mass density = 11.458 Mg/m³
1.0
1.410 0.814 8.631
-1.410 0.814 8.631
0.000 -1.628 8.631
Si Mo Os
1 2 1
direct
0.000 0.000 0.000
0.252 0.252 0.252
0.493 0.493 0.493
0.743 0.743 0.743

---

(7)
GGA-PBE Si2MoOs, relaxed; calculated volume = 58.09 Å³/f.u.; E_tot = -7.9503 eV/atom; mass density = 9.786 Mg/m³
1.0
1.548 -2.266 0.000
1.548 2.266 0.000
0.000 0.000 8.281
Si Mo Os
2 1 1
direct
0.000 0.000 0.000
0.500 0.500 0.254
0.500 0.500 0.754
0.000 0.000 0.487

---

(8)
GGA-PBE SiMoOs2, relaxed; calculated volume = 83.67 Å³/f.u.; E_tot = -8.7600 eV/atom; mass density = 10.012 Mg/m³
1.0
-2.748 2.748 5.539
2.748 -2.748 5.539
2.748 2.748 -5.539
Si Mo Os
2 2 4
direct
0.000 0.000 0.000
0.750 0.250 0.500
0.250 0.750 0.500
0.500 0.500 0.000
0.109 0.625 0.984
0.375 0.359 0.484
0.641 0.125 0.016
0.875 0.891 0.516